Record 1
The following is a SCAN calculation of Ba4HoRu3O12 at its PBEsol-relaxed geometry, from Alexandria via LeMat-Bulk.

Output
E_tot   -21.722 eV/atom
SG   R-3m (166)
Uncorrected formation energy   -2.3998 eV per atom

Cell lengths 5.8323, 5.8323, 10.2459 Å; angles 73.46, 73.46, 60.00 degrees
Closest atoms and distances in Å follow each position.
Sites, in units of the cell vectors:
1 Ho 0.0000 0.0000 0.0000  6 O 2.18
2 O 0.3079 0.7810 0.1302  1 Ru 1.92
3 Ba 0.8711 0.8711 0.3867  12 O 2.92-3.05
4 O 0.2190 0.2190 0.8698  1 Ru 1.92
5 O 0.6130 0.6130 0.6270  2 Ru 1.99-2.03
6 O 0.6921 0.2190 0.8698  1 Ru 1.92
7 Ba 0.1289 0.1289 0.6133  12 O 2.92-3.05
8 O 0.6130 0.1470 0.6270  2 Ru 1.99-2.03
9 O 0.7810 0.7810 0.1302  1 Ru 1.92
10 O 0.3870 0.3870 0.3730  2 Ru 1.99-2.03
11 O 0.2190 0.6921 0.8698  1 Ru 1.92
12 O 0.8530 0.3870 0.3730  2 Ru 1.99-2.03
13 Ru 0.4135 0.4135 0.7596  6 O 1.92-2.03
14 Ba 0.2860 0.2860 0.1419  12 O 2.87-3.08
15 O 0.7810 0.3079 0.1302  1 Ru 1.92
16 Ba 0.7140 0.7140 0.8581  12 O 2.87-3.08
17 Ru 0.5000 0.5000 0.5000  6 O 1.99
18 Ru 0.5865 0.5865 0.2404  6 O 1.92-2.03
19 O 0.1470 0.6130 0.6270  2 Ru 1.99-2.03
20 O 0.3870 0.8530 0.3730  2 Ru 1.99-2.03



Record 2
The following is a SCAN calculation of Ba2HoRuO6 at its PBEsol-relaxed geometry, from Alexandria via LeMat-Bulk.

Output
E_tot   -22.803 eV/atom
SG   Fm-3m (225)
Uncorrected formation energy   -2.7726 eV per atom

Cell lengths 5.8662, 5.8662, 5.8662 Å; angles 60.00, 60.00, 60.00 degrees
Closest atoms and distances in Å follow each position.
Sites, in units of the cell vectors:
1 O 0.7648 0.2352 0.2352  1 Ru 1.95
2 O 0.7648 0.7648 0.2352  1 Ru 1.95
3 O 0.7648 0.2352 0.7648  1 Ru 1.95
4 Ho 0.5000 0.5000 0.5000  6 O 2.20
5 O 0.2352 0.7648 0.2352  1 Ru 1.95
6 O 0.2352 0.2352 0.7648  1 Ru 1.95
7 O 0.2352 0.7648 0.7648  1 Ru 1.95
8 Ba 0.2500 0.2500 0.2500  12 O 2.94
9 Ba 0.7500 0.7500 0.7500  12 O 2.94
10 Ru 0.0000 0.0000 0.0000  6 O 1.95



Record 3
The following is a SCAN calculation of Ba2HoSbO6 at its PBEsol-relaxed geometry, from Alexandria via LeMat-Bulk.

Output
E_tot   -23.244 eV/atom
SG   Fm-3m (225)
Uncorrected formation energy   -2.9701 eV per atom

Cell lengths 5.9388, 5.9388, 5.9388 Å; angles 60.00, 60.00, 60.00 degrees
Closest atoms and distances in Å follow each position.
Sites, in units of the cell vectors:
1 O 0.2380 0.7620 0.2380  1 Sb 2.00, 1 Ho 2.20
2 O 0.7620 0.7620 0.2380  1 Sb 2.00, 1 Ho 2.20
3 O 0.7620 0.2380 0.2380  1 Sb 2.00, 1 Ho 2.20
4 Ho 0.5000 0.5000 0.5000  6 O 2.20
5 Ba 0.2500 0.2500 0.2500  12 O 2.97
6 Ba 0.7500 0.7500 0.7500  12 O 2.97
7 O 0.2380 0.7620 0.7620  1 Sb 2.00, 1 Ho 2.20
8 O 0.2380 0.2380 0.7620  1 Sb 2.00, 1 Ho 2.20
9 O 0.7620 0.2380 0.7620  1 Sb 2.00, 1 Ho 2.20
10 Sb 0.0000 0.0000 0.0000  6 O 2.00



Record 4
The following is a SCAN calculation of Ba5Ho8Zn4O21 at its PBEsol-relaxed geometry, from Alexandria via LeMat-Bulk.

Output
E_tot   -23.570 eV/atom
SG   I4/m (87)
Uncorrected formation energy   -3.1867 eV per atom

Cell lengths 5.6572, 10.0513, 10.0513 Å; angles 85.46, 73.66, 73.66 degrees
Closest atoms and distances in Å follow each position.
Sites, in units of the cell vectors:
1 O 0.0385 0.3329 0.5901  1 Zn 1.97
2 O 0.5061 0.8902 0.5938  1 Zn 2.03, 2 Ho 2.26-2.28
3 O 0.0999 0.4062 0.8902  1 Zn 2.03, 2 Ho 2.26-2.28
4 O 0.7980 0.1290 0.7745  1 Zn 2.11, 2 Ho 2.27-2.36
5 Ho 0.1679 0.0793 0.5848  7 O 2.26-2.45
6 Zn 0.9596 0.2906 0.7903  5 O 1.97-2.11
7 O 0.6037 0.4062 0.8902  1 Zn 2.03, 2 Ho 2.26-2.28
8 O 0.7015 0.8710 0.2255  1 Zn 2.11, 2 Ho 2.27-2.36
9 O 0.5725 0.2255 0.1290  1 Zn 2.11, 2 Ho 2.27-2.36
10 Ho 0.4120 0.2307 0.9452  7 O 2.27-2.38
11 O 0.6286 0.4099 0.3329  1 Zn 1.97
12 Ba 0.0000 0.0000 0.0000  10 O 2.83-2.88
13 O 0.4275 0.7745 0.8710  1 Zn 2.11, 2 Ho 2.27-2.36
14 O 0.9270 0.7745 0.8710  1 Zn 2.11, 2 Ho 2.27-2.36
15 Ho 0.2472 0.5848 0.9207  7 O 2.26-2.45
16 Ba 0.1397 0.3963 0.3243  6 O 2.64-2.87
17 Ho 0.3573 0.0548 0.2307  7 O 2.27-2.38
18 O 0.9001 0.5938 0.1098  1 Zn 2.03, 2 Ho 2.26-2.28
19 Ho 0.6427 0.9452 0.7693  7 O 2.27-2.38
20 Ho 0.5880 0.7693 0.0548  7 O 2.27-2.38
21 Zn 0.2502 0.7903 0.7094  5 O 1.97-2.11
22 O 0.9901 0.1098 0.4062  1 Zn 2.03, 2 Ho 2.26-2.28
23 O 0.3714 0.5901 0.6671  1 Zn 1.97
24 O 0.2985 0.1290 0.7745  1 Zn 2.11, 2 Ho 2.27-2.36
25 Ho 0.8321 0.9207 0.4152  7 O 2.26-2.45
26 Ho 0.7528 0.4152 0.0793  7 O 2.26-2.45
27 Zn 0.0404 0.7094 0.2097  5 O 1.97-2.11
28 O 0.0099 0.8902 0.5938  1 Zn 2.03, 2 Ho 2.26-2.28
29 O 0.2020 0.8710 0.2255  1 Zn 2.11, 2 Ho 2.27-2.36
30 O 0.4939 0.1098 0.4062  1 Zn 2.03, 2 Ho 2.26-2.28
31 O 0.5000 0.0000 0.0000  4 Ho 2.29
32 Ba 0.8603 0.6037 0.6757  6 O 2.64-2.87
33 O 0.9615 0.6671 0.4099  1 Zn 1.97
34 Zn 0.7498 0.2097 0.2906  5 O 1.97-2.11
35 Ba 0.4640 0.6757 0.3963  6 O 2.64-2.87
36 O 0.0730 0.2255 0.1290  1 Zn 2.11, 2 Ho 2.27-2.36
37 O 0.3963 0.5938 0.1098  1 Zn 2.03, 2 Ho 2.26-2.28
38 Ba 0.5360 0.3243 0.6037  6 O 2.64-2.87



Record 5
The following is a SCAN calculation of BaHo2ZnO5 at its PBEsol-relaxed geometry, from Alexandria via LeMat-Bulk.

Output
E_tot   -23.446 eV/atom
SG   Pnma (62)
Uncorrected formation energy   -3.2016 eV per atom

Cell lengths 5.6609, 7.0012, 12.2223 Å; angles 90.00, 90.00, 90.00 degrees
Closest atoms and distances in Å follow each position.
Sites, in units of the cell vectors:
1 Ho 0.7500 0.9011 0.4254  7 O 2.27-2.33
2 O 0.7500 0.5773 0.3988  1 Zn 1.97
3 Ba 0.7500 0.4226 0.6008  7 O 2.70-2.98
4 Zn 0.7500 0.3090 0.3491  5 O 1.97-2.11
5 O 0.4987 0.8352 0.5654  1 Zn 2.02
6 Ho 0.7500 0.5989 0.9254  7 O 2.27-2.33
7 O 0.4987 0.6648 0.0654  1 Zn 2.02
8 Ho 0.2500 0.4011 0.0746  7 O 2.27-2.33
9 Ba 0.2500 0.9226 0.8992  7 O 2.70-2.98
10 Zn 0.7500 0.1910 0.8491  5 O 1.97-2.11
11 O 0.2500 0.0773 0.1012  1 Zn 1.97
12 O 0.5013 0.1648 0.4346  1 Zn 2.02
13 Ho 0.7500 0.8796 0.7078  7 O 2.27-2.35
14 O 0.9999 0.6397 0.7755  1 Zn 2.11, 3 Ho 2.32-2.35
15 Ho 0.7500 0.6204 0.2078  7 O 2.27-2.35
16 O 0.0001 0.3603 0.2245  1 Zn 2.11, 3 Ho 2.32-2.35
17 O 0.9987 0.3352 0.9346  1 Zn 2.02
18 O 0.7500 0.9227 0.8988  1 Zn 1.97
19 Ba 0.2500 0.5774 0.3992  7 O 2.70-2.98
20 O 0.2500 0.4227 0.6012  1 Zn 1.97
21 Ho 0.2500 0.0989 0.5746  7 O 2.27-2.33
22 O 0.5001 0.6397 0.7755  1 Zn 2.11, 3 Ho 2.32-2.35
23 O 0.9987 0.1648 0.4346  1 Zn 2.02
24 Ba 0.7500 0.0774 0.1008  7 O 2.70-2.98
25 O 0.4999 0.1397 0.7245  1 Zn 2.11, 3 Ho 2.32-2.35
26 Ho 0.2500 0.3796 0.7922  7 O 2.27-2.35
27 Ho 0.2500 0.1204 0.2922  7 O 2.27-2.35
28 O 0.4999 0.3603 0.2245  1 Zn 2.11, 3 Ho 2.32-2.35
29 O 0.0001 0.1397 0.7245  1 Zn 2.11, 3 Ho 2.32-2.35
30 O 0.5001 0.8603 0.2755  1 Zn 2.11, 3 Ho 2.32-2.35
31 O 0.0013 0.8352 0.5654  1 Zn 2.02
32 O 0.0013 0.6648 0.0654  1 Zn 2.02
33 O 0.9999 0.8603 0.2755  1 Zn 2.11, 3 Ho 2.32-2.35
34 O 0.5013 0.3352 0.9346  1 Zn 2.02
35 Zn 0.2500 0.6910 0.6509  5 O 1.97-2.11
36 Zn 0.2500 0.8090 0.1509  5 O 1.97-2.11



Record 6
The following is a SCAN calculation of BaHo2S4 at its PBEsol-relaxed geometry, from Alexandria via LeMat-Bulk.

Output
E_tot   -27.584 eV/atom
SG   Pnma (62)
Uncorrected formation energy   -2.4356 eV per atom

Cell lengths 3.9844, 12.0739, 14.3240 Å; angles 90.00, 90.00, 90.00 degrees
Closest atoms and distances in Å follow each position.
Sites, in units of the cell vectors:
1 S 0.7500 0.7919 0.8369  3 Ho 2.73
2 Ho 0.7500 0.0776 0.6018  6 S 2.68-2.73
3 S 0.2500 0.1253 0.4776  3 Ho 2.70-2.73
4 Ba 0.7500 0.2428 0.3379  8 S 3.16-3.33
5 S 0.7500 0.5802 0.5780  3 Ho 2.66-2.72
6 S 0.7500 0.0802 0.9220  3 Ho 2.66-2.72
7 Ho 0.7500 0.5689 0.3924  6 S 2.66-2.73
8 Ba 0.2500 0.7572 0.6621  8 S 3.16-3.33
9 Ho 0.2500 0.4224 0.1018  6 S 2.68-2.73
10 Ho 0.2500 0.9311 0.8924  6 S 2.66-2.73
11 S 0.7500 0.3747 0.9776  3 Ho 2.70-2.73
12 Ho 0.2500 0.4311 0.6076  6 S 2.66-2.73
13 Ba 0.2500 0.2572 0.8379  8 S 3.16-3.33
14 S 0.2500 0.6253 0.0224  3 Ho 2.70-2.73
15 Ho 0.7500 0.0689 0.1076  6 S 2.66-2.73
16 S 0.2500 0.5214 0.7825  3 Ho 2.68-2.73
17 S 0.7500 0.2919 0.6631  3 Ho 2.73
18 S 0.2500 0.2081 0.1631  3 Ho 2.73
19 S 0.7500 0.9786 0.2825  3 Ho 2.68-2.73
20 S 0.2500 0.4198 0.4220  3 Ho 2.66-2.72
21 S 0.2500 0.7081 0.3369  3 Ho 2.73
22 Ba 0.7500 0.7428 0.1621  8 S 3.16-3.33
23 S 0.7500 0.4786 0.2175  3 Ho 2.68-2.73
24 Ho 0.2500 0.9224 0.3982  6 S 2.68-2.73
25 S 0.2500 0.9198 0.0780  3 Ho 2.66-2.72
26 Ho 0.7500 0.5776 0.8982  6 S 2.68-2.73
27 S 0.7500 0.8747 0.5224  3 Ho 2.70-2.73
28 S 0.2500 0.0214 0.7175  3 Ho 2.68-2.73



Record 7
The following is a SCAN calculation of BaI2 at its PBEsol-relaxed geometry, from Alexandria via LeMat-Bulk.

Output
E_tot   -39.664 eV/atom
SG   Pnma (62)
Uncorrected formation energy   -1.9857 eV per atom

Cell lengths 5.2463, 8.7809, 10.6137 Å; angles 90.00, 90.00, 90.00 degrees
Closest atoms and distances in Å follow each position.
Sites, in units of the cell vectors:
1 Ba 0.7500 0.7524 0.8801  7 I 3.42-3.62
2 Ba 0.7500 0.2524 0.6199  7 I 3.42-3.62
3 I 0.2500 0.5273 0.6682  5 Ba 3.60-3.98
4 I 0.2500 0.1435 0.4304  4 Ba 3.42-3.52
5 Ba 0.2500 0.2476 0.1199  7 I 3.42-3.62
6 I 0.2500 0.6435 0.0696  4 Ba 3.42-3.52
7 I 0.7500 0.3565 0.9304  4 Ba 3.42-3.52
8 I 0.7500 0.9727 0.1682  5 Ba 3.60-3.98
9 I 0.2500 0.0273 0.8318  5 Ba 3.60-3.98
10 Ba 0.2500 0.7476 0.3801  7 I 3.42-3.62
11 I 0.7500 0.8565 0.5696  4 Ba 3.42-3.52
12 I 0.7500 0.4727 0.3318  5 Ba 3.60-3.98



Record 8
The following is a SCAN calculation of BaI2 at its PBEsol-relaxed geometry, from Alexandria via LeMat-Bulk.

Output
E_tot   -39.663 eV/atom
SG   P-62m (189)
Uncorrected formation energy   -1.9850 eV per atom

Cell lengths 5.0998, 9.0750, 9.0750 Å; angles 120.00, 90.00, 90.00 degrees
Closest atoms and distances in Å follow each position.
Sites, in units of the cell vectors:
1 I 0.5000 0.5934 0.5934  5 Ba 3.69-3.75, 6 I 3.98-4.12
2 Ba 0.5000 0.0000 0.0000  9 I 3.46-3.69
3 I 0.0000 0.2570 0.2570  4 Ba 3.42-3.46
4 Ba 0.0000 0.3333 0.6667  9 I 3.42-3.75
5 Ba 0.0000 0.6667 0.3333  9 I 3.42-3.75
6 I 0.5000 0.4066 0.0000  5 Ba 3.69-3.75, 6 I 3.98-4.12
7 I 0.0000 0.0000 0.7430  4 Ba 3.42-3.46
8 I 0.5000 0.0000 0.4066  5 Ba 3.69-3.75, 6 I 3.98-4.12
9 I 0.0000 0.7430 0.0000  4 Ba 3.42-3.46



Record 9
The following is a SCAN calculation of BaMoIrI2 at its PBEsol-relaxed geometry, from Alexandria via LeMat-Bulk.

Output
E_tot   -42.482 eV/atom
SG   P4/mmm (123)
Uncorrected formation energy   1.3219 eV per atom

Cell lengths 5.3008, 6.4286, 6.4286 Å; angles 90.00, 90.00, 90.00 degrees
Closest atoms and distances in Å follow each position.
Sites, in units of the cell vectors:
1 Mo 0.5000 0.5000 0.5000  8 I 4.17, 4 Ir 4.55
2 Ir 0.5000 0.0000 0.0000  2 Ba 2.65
3 I 0.0000 0.0000 0.5000  2 Ba 3.21
4 I 0.0000 0.5000 0.0000  2 Ba 3.21
5 Ba 0.0000 0.0000 0.0000  2 Ir 2.65



Record 10
The following is a SCAN calculation of RbBa2IrI at its PBEsol-relaxed geometry, from Alexandria via LeMat-Bulk.

Output
E_tot   -41.677 eV/atom
SG   P4/mmm (123)
Uncorrected formation energy   -0.1407 eV per atom

Cell lengths 6.0104, 6.0104, 5.7367 Å; angles 90.00, 90.00, 90.00 degrees
Closest atoms and distances in Å follow each position.
Sites, in units of the cell vectors:
1 Rb 0.5000 0.5000 0.5000  8 Ba 4.15, 4 I 4.25
2 Ba 0.5000 0.0000 0.0000  2 Ir 3.01
3 Ba 0.0000 0.5000 0.0000  2 Ir 3.01
4 Ir 0.0000 0.0000 0.0000  2 I 2.87, 4 Ba 3.01
5 I 0.0000 0.0000 0.5000  2 Ir 2.87



Record 11
The following is a SCAN calculation of BaIrRhI2 at its PBEsol-relaxed geometry, from Alexandria via LeMat-Bulk.

Output
E_tot   -43.715 eV/atom
SG   P4/mmm (123)
Uncorrected formation energy   -0.1343 eV per atom

Cell lengths 4.7983, 5.4133, 5.4133 Å; angles 90.00, 90.00, 90.00 degrees
Closest atoms and distances in Å follow each position.
Sites, in units of the cell vectors:
1 I 0.0000 0.0000 0.5000  2 Ir 2.71
2 Ir 0.0000 0.0000 0.0000  2 Rh 2.40
3 Ba 0.5000 0.5000 0.5000  8 I 3.62, 4 Rh 3.83
4 Rh 0.5000 0.0000 0.0000  2 Ir 2.40
5 I 0.0000 0.5000 0.0000  2 Ir 2.71



Record 12
The following is a SCAN calculation of K3BaI at its PBEsol-relaxed geometry, from Alexandria via LeMat-Bulk.

Output
E_tot   -20.705 eV/atom
SG   Pm-3m (221)
Uncorrected formation energy   -0.4495 eV per atom

Cell lengths 6.8314, 6.8314, 6.8314 Å; angles 90.00, 90.00, 90.00 degrees
Closest atoms and distances in Å follow each position.
Sites, in units of the cell vectors:
1 I 0.0000 0.0000 0.0000  6 K 3.42
2 K 0.0000 0.0000 0.5000  2 I 3.42
3 K 0.0000 0.5000 0.0000  2 I 3.42
4 Ba 0.5000 0.5000 0.5000  12 K 4.83
5 K 0.5000 0.0000 0.0000  2 I 3.42